1.
VASP calculation (PBE) on Dy2Er3Mg8 after structural relaxation.

Properties
- ΔE_f (meV per atom) = 131
- DFT total energy (eV/atom) = -2.61

abc: 12.724 12.724 12.724
angles: 26.48 26.48 26.48
Fractional coordinates of all 13 atoms:
Dy1 0.140 0.140 0.140
Dy2 0.860 0.860 0.860
Er1 0.316 0.316 0.316
Er2 0.500 0.500 0.500
Er3 0.684 0.684 0.684
Mg1 0.225 0.225 0.225
Mg2 0.230 0.230 0.729
Mg3 0.230 0.729 0.230
Mg4 0.271 0.770 0.770
Mg5 0.729 0.230 0.230
Mg6 0.770 0.271 0.770
Mg7 0.770 0.770 0.271
Mg8 0.775 0.775 0.775

***

2.
VASP calculation (PBE) on PIr4Au after structural relaxation.

Properties
- ΔE_f (meV per atom) = 778
- DFT total energy (eV/atom) = -6.58

abc: 5.205 5.205 5.205
angles: 60.00 60.00 60.00
Fractional coordinates of all 6 atoms:
P1 0.000 0.000 0.000
Ir1 0.124 0.625 0.625
Ir2 0.625 0.124 0.625
Ir3 0.625 0.625 0.124
Ir4 0.625 0.625 0.625
Au1 0.250 0.250 0.250

***

3.
VASP calculation (PBE) on KRb2HgI5 after structural relaxation.

Properties
- DFT total energy (eV/atom) = -2.32
- formation energy from raw total energies (eV per atom) = -1.084

abc: 11.682 11.682 15.720
angles: 90.00 90.00 156.30
Fractional coordinates of all 18 atoms:
K1 0.205 0.795 0.500
K2 0.795 0.205 0.000
Rb1 0.129 0.871 0.799
Rb2 0.131 0.869 0.150
Rb3 0.869 0.131 0.650
Rb4 0.871 0.129 0.299
Hg1 0.443 0.557 0.880
Hg2 0.557 0.443 0.380
I1 0.037 0.963 0.484
I2 0.296 0.704 0.158
I3 0.322 0.678 0.833
I4 0.356 0.644 0.476
I5 0.495 0.505 0.227
I6 0.505 0.495 0.727
I7 0.644 0.356 0.976
I8 0.678 0.322 0.333
I9 0.704 0.296 0.658
I10 0.963 0.037 0.984

***

4.
VASP calculation (PBE) on Dy5Sn4 after structural relaxation.

Properties
- ΔE_f (meV per atom) = -400
- DFT total energy (eV/atom) = -4.74

abc: 7.338 7.338 7.338
angles: 100.06 100.06 130.59
Fractional coordinates of all 9 atoms:
Dy1 0.000 0.000 0.000
Dy2 0.242 0.606 0.847
Dy3 0.394 0.242 0.636
Dy4 0.606 0.758 0.364
Dy5 0.758 0.394 0.153
Sn1 0.077 0.320 0.396
Sn2 0.320 0.923 0.243
Sn3 0.680 0.077 0.757
Sn4 0.923 0.680 0.604